The following is a DFT calculation (PBE) of an optimized crystal structure of CeTmZn.

Unit cell a=3.417 b=5.003 c=5.003 alpha=120.00 beta=90.00 gamma=90.00
Each line ends with the local moment (μB).
Fractional coordinates of all 3 atoms:
Tm1 0.590 0.667 0.333  0.06
Ce1 0.023 0.000 0.000  0.56
Zn1 0.387 0.333 0.667  -0.01

Output
Fermi-level density of states: 1.81 states/eV per atom
energy above the lowest structure with this stoichiometry: 0.168 eV/atom
SG: P3m1 (156)
formation energy: 0.004 eV per atom
energy: -3.89 eV/atom